The following is a DFT calculation (GGA-PBE) of CsGaSn3 after structural relaxation.

## Properties
Formation energy from the elements (eV per atom): 1.36
Magnetization (μB/cell): 0.000

Lattice parameters (Å, degrees): 6.2487 6.2487 6.2487 90.00 90.00 90.00
Last column: nearest neighbours and their distance in Å.
Space group Pm-3m (No. 221)
Unique sites:
Cs: 0.0000 0.0000 0.0000 [1 per cell]  6 Sn 3.12
Ga: 0.5000 0.5000 0.5000 [1 per cell]  12 Sn 4.42
Sn: 0.0000 0.0000 0.5000 [3 per cell]  2 Cs 3.12

The following is a DFT calculation (GGA-PBE) of PrNiAsH after structural relaxation.

## Properties
Magnetization (μB/cell): 0.000
Calculated total energy (Ha/atom): -0.2029

Lattice parameters (Å, degrees): 4.1561 4.1561 4.1621 90.00 90.00 120.00
Last column: nearest neighbours and their distance in Å.
Space group P3m1 (No. 156)
Unique sites:
Pr: 0.0000 0.0000 0.0000 [1 per cell]  3 H 2.42
Ni: 0.6667 0.3333 0.5377 [1 per cell]  1 H 1.61
As: 0.3333 0.6667 0.4794 [1 per cell]  3 Ni 2.41
H: 0.6667 0.3333 0.9247 [1 per cell]  1 Ni 1.61

The following is a DFT calculation (GGA-PBE) of In5Pb3 after structural relaxation.

## Properties
Formation energy from the elements (eV per atom): 0.01
Magnetization (μB/cell): 0.000

Lattice parameters (Å, degrees): 3.5014 3.5014 18.7923 90.00 90.00 90.00
Last column: nearest neighbours and their distance in Å.
Space group P4/mmm (No. 123)
Unique sites:
In: 0.0000 0.0000 0.0000 [1 per cell]  12 In 3.32-3.50
In: 0.0000 0.0000 0.2370 [2 per cell]  8 In 3.34-3.50, 4 Pb 3.44
In: 0.5000 0.5000 0.1175 [2 per cell]  12 In 3.32-3.50
Pb: 0.0000 0.0000 0.5000 [1 per cell]  12 Pb 3.50-3.55
Pb: 0.5000 0.5000 0.3644 [2 per cell]  4 In 3.44, 8 Pb 3.50-3.55

Number 1: calculated density 3.80 Mg/m³. Number 2: calculated density 7.35 Mg/m³. Number 3: calculated density 8.62 Mg/m³.